# VCu3I PBE-GGA relaxed
data_VCu3I
_cell_length_a 4.7506
_cell_length_b 4.7506
_cell_length_c 4.7506
_cell_angle_alpha 90.00
_cell_angle_beta 90.00
_cell_angle_gamma 90.00
_symmetry_space_group_name_H-M 'P 1'
_symmetry_Int_Tables_number 1
loop_
_symmetry_equiv_pos_as_xyz
'x,y,z'
loop_
_atom_site_label
_atom_site_type_symbol
_atom_site_fract_x
_atom_site_fract_y
_atom_site_fract_z
_atom_site_occupancy
I1 I 0.5000 0.5000 0.5000 1
V1 V 0.0000 0.0000 0.0000 1
Cu1 Cu 0.0000 0.0000 0.5000 1
Cu2 Cu 0.5000 0.0000 0.0000 1
Cu3 Cu 0.0000 0.5000 0.0000 1
# Density of states at the Fermi level, states/eV per atom: 1.238
# Energy relative to the lowest polymorph listed for this composition, meV/atom: 0
# Uncorrected formation energy, eV per formula unit: 6.23